Entry 1:
VASP calculation (GGA-PBEsol) on BaMn2 after structural relaxation.

Calculated values
- space group = No. 8
- D(E_F) (states/eV/cell) = 6.7
- E_form (eV/atom) = 0.555

Cell lengths 3.955, 3.955, 10.845 Å; angles 100.24, 100.24, 59.98 degrees
Fractional coordinates of all 6 atoms:
1 Ba 0.000 0.000 0.000
2 Ba 0.202 0.202 0.629
3 Mn 0.100 0.100 0.306
4 Mn 0.399 0.399 0.203
5 Mn 0.468 0.468 0.416
6 Mn 0.757 0.757 0.280

***

Entry 2:
VASP calculation (GGA-PBEsol) on BaIr2 after structural relaxation.

Calculated values
- space group = No. 12
- D(E_F) (states/eV/cell) = 5.5
- E_form (eV/atom) = 0.410

Cell lengths 6.940, 6.940, 6.587 Å; angles 105.39, 105.39, 24.45 degrees
Fractional coordinates of all 6 atoms:
1 Ba 0.027 0.027 0.273
2 Ba 0.973 0.973 0.727
3 Ir 0.266 0.266 0.350
4 Ir 0.325 0.325 0.984
5 Ir 0.675 0.675 0.016
6 Ir 0.734 0.734 0.650

***

Entry 3:
VASP calculation (GGA-PBEsol) on Y2Mg after structural relaxation.

Calculated values
- space group = No. 189
- D(E_F) (states/eV/cell) = 11.1
- E_form (eV/atom) = -0.002

Cell lengths 9.294, 9.294, 3.389 Å; angles 90.00, 90.00, 120.00 degrees
Fractional coordinates of all 9 atoms:
1 Y 0.000 0.369 0.000
2 Y 0.000 0.701 0.500
3 Y 0.299 0.299 0.500
4 Y 0.369 0.000 0.000
5 Y 0.631 0.631 0.000
6 Y 0.701 0.000 0.500
7 Mg 0.000 0.000 0.000
8 Mg 0.333 0.667 0.500
9 Mg 0.667 0.333 0.500

***

Entry 4:
VASP calculation (GGA-PBEsol) on BaTaI2O after structural relaxation.

Calculated values
- space group = No. 123
- D(E_F) (states/eV/cell) = 3.2
- uncorrected energy (eV per atom) = -5.77

Cell lengths 5.849, 5.849, 3.930 Å; angles 90.00, 90.00, 90.00 degrees
Fractional coordinates of all 5 atoms:
1 Ba 0.000 0.000 0.000
2 Ta 0.500 0.500 0.500
3 I 0.000 0.500 0.500
4 I 0.500 0.000 0.500
5 O 0.500 0.500 0.000

***

Entry 5:
VASP calculation (GGA-PBEsol) on LuNi2B2C after structural relaxation.

Calculated values
- space group = No. 139
- D(E_F) (states/eV/cell) = 2.8
- E_form (eV/atom) = -0.568

Cell lengths 5.754, 5.754, 5.754 Å; angles 145.37, 145.37, 49.78 degrees
Fractional coordinates of all 6 atoms:
1 Lu 0.000 0.000 0.000
2 Ni 0.250 0.750 0.500
3 Ni 0.750 0.250 0.500
4 B 0.357 0.357 0.000
5 B 0.643 0.643 0.000
6 C 0.500 0.500 0.000

***

Entry 6:
VASP calculation (GGA-PBEsol) on Fe2Ir after structural relaxation.

Calculated values
- space group = No. 63
- D(E_F) (states/eV/cell) = 6.5
- E_form (eV/atom) = -0.049

Cell lengths 6.741, 6.741, 4.024 Å; angles 90.00, 90.00, 157.86 degrees
Fractional coordinates of all 6 atoms:
1 Fe 0.055 0.945 0.750
2 Fe 0.277 0.723 0.250
3 Fe 0.723 0.277 0.750
4 Fe 0.945 0.055 0.250
5 Ir 0.388 0.612 0.750
6 Ir 0.612 0.388 0.250

***

Entry 7:
VASP calculation (GGA-PBEsol) on TaAsPb2 after structural relaxation.

Calculated values
- space group = No. 44
- D(E_F) (states/eV/cell) = 2.7
- E_form (eV/atom) = 0.308

Cell lengths 6.836, 6.836, 6.836 Å; angles 151.88, 140.05, 49.56 degrees
Fractional coordinates of all 4 atoms:
1 Ta 0.000 0.000 0.000
2 As 0.156 0.656 0.500
3 Pb 0.450 0.450 0.000
4 Pb 0.754 0.254 0.500

***

Entry 8:
VASP calculation (GGA-PBEsol) on Ta2FeW after structural relaxation.

Calculated values
- space group = No. 65
- D(E_F) (states/eV/cell) = 3.1
- E_form (eV/atom) = -0.014

Cell lengths 2.747, 2.747, 8.549 Å; angles 90.00, 90.00, 108.11 degrees
Fractional coordinates of all 4 atoms:
1 Ta 0.000 0.000 0.233
2 Ta 0.000 0.000 0.767
3 Fe 0.500 0.500 0.000
4 W 0.500 0.500 0.500